Density functional theory data (PBE with a Hubbard U) for crystalline K3PuFe2O6 at its relaxed geometry.

It has space group C2/m (No. 12), with a = 5.7966 Å, b = 9.8612 Å, c = 6.4500 Å, α = 90.00°, β = 107.89° and γ = 90.00°. The inequivalent atoms are K at (0.0000, 0.0000, 0.0000), K at (0.0000, 0.3253, 0.0000), Pu at (0.0000, 0.5000, 0.5000), Fe at (0.0000, 0.1651, 0.5000), O at (0.2156, 0.3377, 0.6846) and O at (0.2321, 0.0000, 0.6814).

For the total energy, the calculation gives -6.725 eV per atom. The value obtained for the total magnetization is 22.00 μB per cell.